[1]
Compound: ThIr2Rh3
Source: Alexandria
Functional: PBE
Structure: optimized geometry

## Properties
VASP energy ... -8.246 eV/atom
Energy relative to the lowest polymorph listed for this composition ... 9 meV per atom
Space group ... R-3m
Fermi-level density of states ... 4.73 states/eV/f.u.

a = 5.687 Å, b = 5.687 Å, c = 7.825 Å
α = 68.69°, β = 68.69°, γ = 60.00°
Element x y z (fractional)
Th 0.782 0.782 0.654
Th 0.218 0.218 0.346
Ir 0.000 0.000 0.000
Ir 0.000 0.500 0.000
Ir 0.500 0.500 0.000
Ir 0.500 0.000 0.000
Rh 0.236 0.724 0.316
Rh 0.724 0.236 0.316
Rh 0.724 0.724 0.316
Rh 0.276 0.764 0.684
Rh 0.764 0.276 0.684
Rh 0.276 0.276 0.684

[2]
Compound: LaSbIr2
Source: Alexandria
Functional: PBE
Structure: optimized geometry

## Properties
VASP energy ... -6.554 eV/atom
ΔE_f (raw) ... 54 kJ/mol of formula units
Space group ... F-43m
Fermi-level density of states ... 7.80 states/eV/f.u.

a = 4.898 Å, b = 4.898 Å, c = 4.898 Å
α = 60.00°, β = 60.00°, γ = 60.00°
Element x y z (fractional)
Ir 0.000 0.000 0.000
Ir 0.250 0.250 0.250
La 0.500 0.500 0.500
Sb 0.750 0.750 0.750